DFT (PBEsol) results for a geometry-optimized Cd3AsO structure.

Values from the calculation:
- V (A^3/atom) = 18.851
- formation energy from raw total energies (eV per atom) = -0.1517
- raw total energy (eV/atom) = -2.94

```
data_Cd3AsO
_space_group_name_H-M_alt 'P m -3 m'
_space_group_IT_number 221
_space_group_name_Hall '-P 4 2 3'
_cell_length_a 4.551
_cell_length_b 4.551
_cell_length_c 4.551
_cell_angle_alpha 90.00
_cell_angle_beta 90.00
_cell_angle_gamma 90.00
loop_
_atom_site_label
_atom_site_fract_x
_atom_site_fract_y
_atom_site_fract_z
Cd1 0.000 0.000 0.500
As1 0.500 0.500 0.500
O1 0.000 0.000 0.000
```

=====

DFT (PBEsol) results for a geometry-optimized CaYPb3 structure.

Values from the calculation:
- V (A^3/atom) = 37.412
- E_form (kJ/mol of formula units) = 57
- raw total energy (eV/atom) = -4.07

```
data_CaYPb3
_space_group_name_H-M_alt 'P m -3 m'
_space_group_IT_number 221
_space_group_name_Hall '-P 4 2 3'
_cell_length_a 5.719
_cell_length_b 5.719
_cell_length_c 5.719
_cell_angle_alpha 90.00
_cell_angle_beta 90.00
_cell_angle_gamma 90.00
loop_
_atom_site_label
_atom_site_fract_x
_atom_site_fract_y
_atom_site_fract_z
Ca1 0.000 0.000 0.000
Y1 0.500 0.500 0.500
Pb1 0.000 0.500 0.500
```

=====

DFT (PBEsol) results for a geometry-optimized SrCaCu2F structure.

Values from the calculation:
- V (A^3/atom) = 26.489
- formation energy from raw total energies (eV per atom) = -0.4719
- raw total energy (eV/atom) = -3.39

```
data_SrCaCu2F
_space_group_name_H-M_alt 'P 4/m m m'
_space_group_IT_number 123
_space_group_name_Hall '-P 4 2'
_cell_length_a 5.479
_cell_length_b 5.479
_cell_length_c 4.412
_cell_angle_alpha 90.00
_cell_angle_beta 90.00
_cell_angle_gamma 90.00
loop_
_atom_site_label
_atom_site_fract_x
_atom_site_fract_y
_atom_site_fract_z
Sr1 0.000 0.000 0.000
Ca1 0.500 0.500 0.500
Cu1 0.000 0.500 0.000
F1 0.000 0.000 0.500
```

=====

DFT (PBEsol) results for a geometry-optimized YSCl2F structure.

Values from the calculation:
- V (A^3/atom) = 18.259
- formation energy from raw total energies (eV per atom) = -0.9230
- raw total energy (eV/atom) = -4.35

```
data_YSCl2F
_space_group_name_H-M_alt 'P 4/m m m'
_space_group_IT_number 123
_space_group_name_Hall '-P 4 2'
_cell_length_a 4.887
_cell_length_b 4.887
_cell_length_c 3.823
_cell_angle_alpha 90.00
_cell_angle_beta 90.00
_cell_angle_gamma 90.00
loop_
_atom_site_label
_atom_site_fract_x
_atom_site_fract_y
_atom_site_fract_z
Y1 0.000 0.000 0.000
S1 0.500 0.500 0.000
Cl1 0.000 0.500 0.500
F1 0.500 0.500 0.500
```

=====

DFT (PBEsol) results for a geometry-optimized KPb2Cl structure.

Values from the calculation:
- V (A^3/atom) = 34.185
- formation energy from raw total energies (eV per atom) = -0.5530
- raw total energy (eV/atom) = -3.34

```
data_KPb2Cl
_space_group_name_H-M_alt 'P m m m'
_space_group_IT_number 47
_space_group_name_Hall '-P 2 2'
_cell_length_a 4.157
_cell_length_b 4.479
_cell_length_c 7.344
_cell_angle_alpha 90.00
_cell_angle_beta 90.00
_cell_angle_gamma 90.00
loop_
_atom_site_label
_atom_site_fract_x
_atom_site_fract_y
_atom_site_fract_z
K1 0.000 0.000 0.000
Pb1 0.000 0.500 0.500
Pb2 0.500 0.000 0.500
Cl1 0.500 0.500 0.000
```

=====

DFT (PBEsol) results for a geometry-optimized TaIn3Co structure.

Values from the calculation:
- V (A^3/atom) = 29.128
- E_form (kJ/mol of formula units) = 706
- raw total energy (eV/atom) = -4.38

```
data_TaIn3Co
_space_group_name_H-M_alt 'P m -3 m'
_space_group_IT_number 221
_space_group_name_Hall '-P 4 2 3'
_cell_length_a 5.261
_cell_length_b 5.261
_cell_length_c 5.261
_cell_angle_alpha 90.00
_cell_angle_beta 90.00
_cell_angle_gamma 90.00
loop_
_atom_site_label
_atom_site_fract_x
_atom_site_fract_y
_atom_site_fract_z
Ta1 0.000 0.000 0.000
In1 0.000 0.000 0.500
Co1 0.500 0.500 0.500
```